No. 1
Entry from Alexandria via LeMat-Bulk: crystalline ScHgSe2 at its relaxed geometry (GGA-PBEsol).

- energy (eV per formula unit) = -18.38
- crystal system = tetragonal
- E_form (uncorrected) (eV/atom) = -0.878
- density of states at the Fermi level (states/eV per cell) = 1.73

abc: 3.915 3.915 5.773
angles: 90.00 90.00 90.00
Positions (direct):
Sc: 0.000 0.000 0.000
Hg: 0.500 0.500 0.496
Se: 0.000 0.000 0.498
Se: 0.500 0.500 0.996

No. 2
Entry from Alexandria via LeMat-Bulk: crystalline ScHgSe2 at its relaxed geometry (GGA-PBEsol).

- energy (eV per formula unit) = -17.68
- crystal system = tetragonal
- E_form (uncorrected) (eV/atom) = -0.701
- density of states at the Fermi level (states/eV per cell) = 1.08

abc: 6.156 6.156 6.156
angles: 143.13 143.13 53.13
Positions (direct):
Sc: 0.000 0.000 0.000
Hg: 0.250 0.750 0.500
Se: 0.500 0.500 0.000
Se: 0.750 0.250 0.500

No. 3
Entry from Alexandria via LeMat-Bulk: crystalline ScHgSe3 at its relaxed geometry (GGA-PBEsol).

- energy (eV per formula unit) = -20.28
- crystal system = cubic
- E_form (uncorrected) (eV/atom) = -0.312
- density of states at the Fermi level (states/eV per cell) = 7.74

abc: 5.093 5.093 5.093
angles: 90.00 90.00 90.00
Positions (direct):
Sc: 0.000 0.000 0.000
Hg: 0.500 0.500 0.500
Se: 0.000 0.000 0.500
Se: 0.000 0.500 0.000
Se: 0.500 0.000 0.000